NaGaSe2: relaxed, PBE.

Values from the calculation:
The value obtained for the calculated density is 4.76 g/cm3. Its spin magnetization is 0.0 μB per formula unit. As for the symmetry: No. 123. The value obtained for the calculated total energy is -3.3130 eV/atom.

Cell: 3.9866 3.9866 5.4965 Å, 90.00 90.00 90.00°
Positions (direct):
Ga1 0.5000 0.5000 0.0000
Na1 0.0000 0.0000 0.5000
Se1 0.5000 0.5000 0.5000
Se2 0.0000 0.0000 0.0000

=====

Sr4BiAsCl2: relaxed, PBE.

Values from the calculation:
The value obtained for the calculated density is 4.25 g/cm3. Its spin magnetization is 0.0 μB per formula unit. As for the symmetry: No. 10. The value obtained for the calculated total energy is -3.9051 eV/atom.

Cell: 4.6702 7.7432 8.1548 Å, 69.19 90.00 90.00°
Positions (direct):
Bi1 0.5000 0.5000 0.0000
Cl1 0.0000 0.0000 0.0000
Sr1 0.0000 0.2684 0.2595
Sr2 0.5000 0.7280 0.2672
Sr3 0.5000 0.2720 0.7328
Sr4 0.0000 0.7316 0.7405
Cl2 0.5000 0.0000 0.5000
As1 0.0000 0.5000 0.5000

=====

Dy5YAl4: relaxed, PBE.

Values from the calculation:
The value obtained for the calculated density is 6.66 g/cm3. Its spin magnetization is 0.0 μB per formula unit. As for the symmetry: No. 123. For the formation energy, the calculation gives -0.31 eV/atom.

Cell: 3.5776 3.5776 19.6698 Å, 90.00 90.00 90.00°
Positions (direct):
Dy1 0.5000 0.5000 0.8711
Al1 0.0000 0.0000 0.4074
Y1 0.0000 0.0000 0.0000
Dy2 0.5000 0.5000 0.6850
Al2 0.0000 0.0000 0.5926
Al3 0.0000 0.0000 0.2216
Dy3 0.5000 0.5000 0.3150
Dy4 0.5000 0.5000 0.5000
Dy5 0.5000 0.5000 0.1289
Al4 0.0000 0.0000 0.7784

=====

LiGa2H2: relaxed, PBE.

Values from the calculation:
The value obtained for the calculated density is 4.34 g/cm3. For the relative energy among the computed polymorphs, the calculation gives 0.00 kcal/mol of atoms. Its spin magnetization is 0.0 μB per formula unit. As for the symmetry: No. 127.

Cell: 5.3671 5.3671 3.9457 Å, 90.00 90.00 90.00°
Positions (direct):
Ga1 0.6798 0.1798 0.5000
Li1 0.5000 0.5000 0.0000
H1 0.6801 0.1801 0.0000
Li2 0.0000 0.0000 0.0000
Ga2 0.3202 0.8202 0.5000
Ga3 0.1798 0.3202 0.5000
H2 0.3199 0.8199 0.0000
H3 0.1801 0.3199 0.0000
Ga4 0.8202 0.6798 0.5000
H4 0.8199 0.6801 0.0000

=====

Be17ZnRe: relaxed, PBE.

Values from the calculation:
The value obtained for the calculated density is 4.09 g/cm3. Its spin magnetization is 0.0 μB per formula unit. As for the symmetry: No. 160. For the formation energy, the calculation gives -0.05 eV/atom.

Cell: 5.5306 5.5306 5.5306 Å, 81.72 81.72 81.72°
Positions (direct):
Be1 0.5000 0.9877 0.9877
Be2 0.9877 0.9877 0.5000
Be3 0.3051 0.9987 0.6889
Be4 0.6588 0.1515 0.6588
Be5 0.3051 0.6889 0.9987
Be6 0.9987 0.6889 0.3051
Be7 0.6889 0.9987 0.3051
Zn1 0.3826 0.3826 0.3826
Be8 0.3454 0.3454 0.8325
Be9 0.8325 0.3454 0.3454
Be10 0.9877 0.5000 0.9877
Be11 0.8970 0.8970 0.8970
Be12 0.0968 0.0968 0.0968
Re1 0.6705 0.6705 0.6705
Be13 0.1515 0.6588 0.6588
Be14 0.6588 0.6588 0.1515
Be15 0.9987 0.3051 0.6889
Be16 0.3454 0.8325 0.3454
Be17 0.6889 0.3051 0.9987

=====

Al12Cr5Tc3: relaxed, PBE.

Values from the calculation:
The value obtained for the calculated density is 3.51 g/cm3. Its spin magnetization is 19.2 μB per formula unit. As for the symmetry: No. 230. For the formation energy, the calculation gives 0.69 eV/atom.

Cell: 12.9212 12.9212 12.9212 Å, 109.47 109.47 109.47°
Last column: magnetic moment on the atom in μB.
Positions (direct):
Al1 0.9169 0.0712 0.6474  -0.03
Cr1 0.0000 0.0000 0.0000  2.94
Cr2 0.5000 0.5000 0.5000  2.94
Al2 0.3457 0.7695 0.4169  -0.03
Al3 0.8457 0.9288 0.0762  -0.03
Tc1 0.2500 0.6250 0.8750  0.20
Cr3 0.3750 0.2500 0.1250  3.75
Al4 0.0762 0.4288 0.8457  -0.03
Tc2 0.6250 0.3750 0.7500  0.20
Tc3 0.1250 0.8750 0.7500  0.20
Al5 0.0831 0.9288 0.3526  -0.03
Al6 0.5831 0.8526 0.4288  -0.03
Cr4 0.8750 0.2500 0.6250  3.75
Al7 0.7305 0.1474 0.0762  -0.03
Al8 0.4169 0.2695 0.3457  -0.03
Al9 0.9238 0.5712 0.1543  -0.03
Tc4 0.8750 0.7500 0.1250  0.20
Al10 0.4238 0.7695 0.8526  -0.03
Al11 0.0712 0.1543 0.4238  -0.03
Cr5 0.6250 0.8750 0.2500  3.75
Al12 0.0712 0.9169 0.1474  -0.03
Al13 0.5712 0.6474 0.4169  -0.03
Al14 0.5762 0.2305 0.1474  -0.03
Cr6 0.1250 0.3750 0.2500  3.75
Al15 0.3526 0.9238 0.7695  -0.03
Al16 0.2695 0.4169 0.8457  -0.03
Tc5 0.6250 0.2500 0.3750  0.20
Al17 0.0762 0.6474 0.7305  -0.03
Al18 0.7695 0.4238 0.3526  -0.03
Al19 0.9169 0.8457 0.7695  -0.03
Al20 0.7305 0.5831 0.1543  -0.03
Al21 0.4288 0.0762 0.3457  -0.03
Al22 0.1543 0.0712 0.9238  -0.03
Al23 0.8526 0.2695 0.4238  -0.03
Tc6 0.7500 0.3750 0.1250  0.20
Cr7 0.0000 0.5000 0.5000  2.94
Al24 0.1474 0.7305 0.5762  -0.03
Al25 0.4288 0.3526 0.5831  -0.03
Al26 0.3526 0.4288 0.0831  -0.03
Al27 0.9288 0.8457 0.5762  -0.03
Cr8 0.0000 0.5000 0.0000  2.94
Al28 0.9238 0.3526 0.2695  -0.03
Al29 0.8457 0.9169 0.2695  -0.03
Al30 0.1543 0.0831 0.7305  -0.03
Al31 0.5712 0.9238 0.6543  -0.03
Al32 0.6474 0.5712 0.9169  -0.03
Cr9 0.8750 0.6250 0.7500  3.75
Tc7 0.8750 0.1250 0.2500  0.20
Cr10 0.5000 0.5000 0.0000  2.94
Al33 0.5831 0.7305 0.6543  -0.03
Al34 0.2695 0.8526 0.9238  -0.03
Al35 0.9288 0.0831 0.8526  -0.03
Al36 0.5762 0.3457 0.9288  -0.03
Cr11 0.5000 0.0000 0.5000  2.94
Cr12 0.3750 0.1250 0.7500  3.75
Al37 0.6474 0.0762 0.2305  -0.03
Al38 0.3457 0.5762 0.4288  -0.03
Cr13 0.5000 0.0000 0.0000  2.94
Cr14 0.7500 0.6250 0.3750  3.75
Al39 0.6543 0.4238 0.5712  -0.03
Cr15 0.2500 0.3750 0.6250  3.75
Cr16 0.2500 0.8750 0.1250  3.75
Cr17 0.1250 0.7500 0.3750  3.75
Al40 0.2305 0.5762 0.6474  -0.03
Tc8 0.3750 0.6250 0.2500  0.20
Cr18 0.0000 0.0000 0.5000  2.94
Cr19 0.6250 0.7500 0.8750  3.75
Al41 0.0831 0.1543 0.2305  -0.03
Tc9 0.3750 0.7500 0.6250  0.20
Cr20 0.7500 0.1250 0.8750  3.75
Al42 0.4169 0.1474 0.5712  -0.03
Al43 0.7695 0.3457 0.9169  -0.03
Al44 0.1474 0.4169 0.0712  -0.03
Tc10 0.7500 0.8750 0.6250  0.20
Tc11 0.2500 0.1250 0.3750  0.20
Al45 0.2305 0.6543 0.0831  -0.03
Al46 0.8526 0.5831 0.9288  -0.03
Tc12 0.1250 0.2500 0.8750  0.20
Al47 0.6543 0.2305 0.5831  -0.03
Al48 0.4238 0.6543 0.0712  -0.03

=====

Hf2ScAl6: relaxed, PBE.

Values from the calculation:
The value obtained for the calculated density is 5.82 g/cm3. For the relative energy among the computed polymorphs, the calculation gives 0.00 kcal/mol of atoms. Its spin magnetization is 0.0 μB per formula unit. As for the symmetry: No. 191. For the formation energy, the calculation gives -0.39 eV/atom.

Cell: 3.1081 7.7325 7.7325 Å, 120.00 90.00 90.00°
Positions (direct):
Al1 0.5000 0.6665 0.6665
Al2 0.5000 0.3335 0.0000
Hf1 0.0000 0.3333 0.6667
Al3 0.5000 0.0000 0.6665
Al4 0.5000 0.3335 0.3335
Al5 0.5000 0.6665 0.0000
Sc1 0.0000 0.0000 0.0000
Hf2 0.0000 0.6667 0.3333
Al6 0.5000 0.0000 0.3335

=====

BeReSi2: relaxed, PBE.

Values from the calculation:
The value obtained for the calculated density is 8.52 g/cm3. Its spin magnetization is 0.0 μB per formula unit. As for the symmetry: No. 47. The value obtained for the calculated total energy is -6.8234 eV/atom.

Cell: 3.0953 3.1138 5.9588 Å, 58.50 90.00 90.00°
Positions (direct):
Re1 0.5000 0.7500 0.7500
Si1 0.0000 0.5164 0.4835
Si2 0.0000 0.9836 0.0165
Be1 0.5000 0.2500 0.2500

=====

In2MoCl: relaxed, PBE.

Values from the calculation:
The value obtained for the calculated density is 6.74 g/cm3. For the relative energy among the computed polymorphs, the calculation gives 11.67 kcal/mol of atoms. Its spin magnetization is 3.0 μB per formula unit. As for the symmetry: No. 216.

Cell: 5.0098 5.0098 5.0098 Å, 60.00 60.00 60.00°
Last column: magnetic moment on the atom in μB.
Positions (direct):
In1 0.0000 0.0000 0.0000  -0.06
In2 0.2500 0.2500 0.2500  -0.01
Mo1 0.7500 0.7500 0.7500  2.73
Cl1 0.5000 0.5000 0.5000  0.00

=====

K2H3Au2: relaxed, PBE.

Values from the calculation:
The value obtained for the calculated density is 5.86 g/cm3. Its spin magnetization is 0.0 μB per formula unit. As for the symmetry: No. 10. The value obtained for the calculated total energy is -2.8390 eV/atom.

Cell: 3.9987 5.2603 6.4392 Å, 84.17 90.00 90.00°
Positions (direct):
H1 0.0000 0.3968 0.3874
Au1 0.0000 0.7407 0.8362
K1 0.5000 0.7547 0.2898
H2 0.0000 0.6032 0.6126
H3 0.0000 0.0000 0.0000
K2 0.5000 0.2453 0.7102
Au2 0.0000 0.2593 0.1638

=====

Sm2HgPb4: relaxed, PBE.

Values from the calculation:
The value obtained for the calculated density is 9.94 g/cm3. For the relative energy among the computed polymorphs, the calculation gives 2.78 kcal/mol of atoms. Its spin magnetization is 0.0 μB per formula unit. As for the symmetry: No. 12. For the formation energy, the calculation gives -0.21 eV/atom.

Cell: 4.8488 9.4240 8.3440 Å, 139.36 106.89 90.00°
Positions (direct):
Pb1 0.7029 0.3446 0.4057
Pb2 0.0366 0.7124 0.0732
Hg1 0.0000 0.0000 0.0000
Sm1 0.3144 0.2813 0.6287
Pb3 0.9634 0.2876 0.9268
Pb4 0.2971 0.6554 0.5943
Sm2 0.6856 0.7187 0.3713

=====

ZrSi2PdRu: relaxed, PBE.

Values from the calculation:
The value obtained for the calculated density is 4.99 g/cm3. Its spin magnetization is 1.1 μB per formula unit. As for the symmetry: No. 123. The value obtained for the calculated total energy is -5.4619 eV/atom.

Cell: 4.9924 4.7381 4.9924 Å, 90.00 90.00 90.00°
Last column: magnetic moment on the atom in μB.
Positions (direct):
Ru1 0.0000 0.5000 0.0000  0.84
Si1 0.5000 0.0000 0.0000  0.02
Pd1 0.5000 0.5000 0.5000  0.12
Zr1 0.0000 0.0000 0.0000  -0.02
Si2 0.0000 0.0000 0.5000  0.01

=====

Q: spin magnetization of number 5 (Be17ZnRe)?
A: 0.0 μB per formula unit

=====

Q: Which value of spin magnetization does entry 11 give?
A: 0.0 μB per formula unit

=====

Repeat the second record exactly.
Sr4BiAsCl2: relaxed, PBE.

Values from the calculation:
The value obtained for the calculated density is 4.25 g/cm3. Its spin magnetization is 0.0 μB per formula unit. As for the symmetry: No. 10. The value obtained for the calculated total energy is -3.9051 eV/atom.

Cell: 4.6702 7.7432 8.1548 Å, 69.19 90.00 90.00°
Positions (direct):
Bi1 0.5000 0.5000 0.0000
Cl1 0.0000 0.0000 0.0000
Sr1 0.0000 0.2684 0.2595
Sr2 0.5000 0.7280 0.2672
Sr3 0.5000 0.2720 0.7328
Sr4 0.0000 0.7316 0.7405
Cl2 0.5000 0.0000 0.5000
As1 0.0000 0.5000 0.5000

=====

What did the ninth record say?
In2MoCl: relaxed, PBE.

Values from the calculation:
The value obtained for the calculated density is 6.74 g/cm3. For the relative energy among the computed polymorphs, the calculation gives 11.67 kcal/mol of atoms. Its spin magnetization is 3.0 μB per formula unit. As for the symmetry: No. 216.

Cell: 5.0098 5.0098 5.0098 Å, 60.00 60.00 60.00°
Last column: magnetic moment on the atom in μB.
Positions (direct):
In1 0.0000 0.0000 0.0000  -0.06
In2 0.2500 0.2500 0.2500  -0.01
Mo1 0.7500 0.7500 0.7500  2.73
Cl1 0.5000 0.5000 0.5000  0.00